[1]
Compound: CoPtBr2
Source: the Alexandria database
Functional: GGA-PBE
Structure: relaxed

Cell: 3.1804 3.1807 7.3104 Å, 90.00 90.00 90.00°
Closest atoms and distances in Å follow each position.
Sites, in units of the cell vectors:
1 Pt 0.5000 0.5000 0.7500  8 Br 3.03, 4 Pt 3.18
2 Br 0.0000 0.0000 0.0287  4 Co 2.77, 4 Pt 3.03
3 Co 0.5000 0.5000 0.2500  8 Br 2.77
4 Br 0.0000 0.0000 0.4713  4 Co 2.77, 4 Pt 3.03

Output
As for the space group: No. 123. As for the energy above the lowest structure with this stoichiometry: 0.712 eV/atom. As for the formation energy without anion corrections: 762 meV/atom. For the total moment, the calculation gives 2.81 μB/f.u.

***

[2]
Compound: CoPtBr
Source: the Alexandria database
Functional: GGA-PBE
Structure: relaxed

Cell: 3.3641 3.3641 5.4990 Å, 90.00 90.00 120.00°
Closest atoms and distances in Å follow each position.
Sites, in units of the cell vectors:
1 Pt 0.6667 0.3333 0.5968  3 Co 2.46
2 Br 0.0000 0.0000 0.0799  3 Co 2.36
3 Co 0.3333 0.6667 0.3233  3 Br 2.36, 3 Pt 2.46

Output
As for the space group: No. 156. As for the energy above the lowest structure with this stoichiometry: 0.000 eV/atom. As for the formation energy without anion corrections: 401 meV/atom. For the total moment, the calculation gives 0.00 μB/f.u.

***

[3]
Compound: CoPtBr2
Source: the Alexandria database
Functional: GGA-PBE
Structure: relaxed

Cell: 3.7491 3.7491 8.0619 Å, 84.62 84.62 58.37°
Closest atoms and distances in Å follow each position.
Sites, in units of the cell vectors:
1 Br 0.7705 0.7705 0.6546  2 Pt 2.57
2 Br 0.0113 0.0113 0.1033  2 Co 2.40
3 Pt 0.1863 0.1863 0.4487  3 Co 2.47-2.49, 2 Br 2.57
4 Co 0.5319 0.5319 0.2935  2 Br 2.40, 3 Pt 2.47-2.49

Output
As for the space group: No. 8. As for the energy above the lowest structure with this stoichiometry: 0.053 eV/atom. As for the formation energy without anion corrections: 104 meV/atom. For the total moment, the calculation gives 2.27 μB/f.u.

***

[4]
Compound: CoPtBr6
Source: the Alexandria database
Functional: GGA-PBE
Structure: relaxed

Cell: 6.3618 6.3636 6.9218 Å, 62.63 81.57 71.41°
Closest atoms and distances in Å follow each position.
Sites, in units of the cell vectors:
1 Br 0.7451 0.3933 0.7224  1 Pt 2.50, 1 Co 2.55
2 Br 0.2474 0.2484 0.0000  1 Co 2.56, 1 Pt 2.61
3 Pt 0.5000 0.5000 0.0000  6 Br 2.50-2.61
4 Co 0.0000 0.0000 0.0000  6 Br 2.55-2.56
5 Br 0.2549 0.6067 0.2776  1 Pt 2.50, 1 Co 2.55
6 Br 0.7451 0.1158 0.2776  1 Pt 2.50, 1 Co 2.55
7 Br 0.7526 0.7516 0.0000  1 Co 2.56, 1 Pt 2.61
8 Br 0.2549 0.8842 0.7224  1 Pt 2.50, 1 Co 2.55

Output
As for the space group: No. 12. As for the formation energy without anion corrections: -190 meV/atom. For the total moment, the calculation gives 3.04 μB/f.u.

***

[5]
Compound: CoPtBr2
Source: the Alexandria database
Functional: GGA-PBE
Structure: relaxed

Cell: 3.8419 3.8419 8.1551 Å, 90.00 90.00 121.29°
Closest atoms and distances in Å follow each position.
Sites, in units of the cell vectors:
1 Co 0.0000 0.0000 0.5322  2 Pt 2.36, 2 Br 2.42
2 Br 0.5000 0.5000 0.3449  2 Co 2.42
3 Pt 0.5000 0.5000 0.7066  2 Co 2.36, 2 Br 2.54
4 Br 0.0000 0.0000 0.9163  2 Pt 2.54

Output
As for the space group: No. 35. As for the energy above the lowest structure with this stoichiometry: 0.211 eV/atom. As for the formation energy without anion corrections: 261 meV/atom. For the total moment, the calculation gives 2.11 μB/f.u.

***

[6]
Compound: CoPtBr2
Source: the Alexandria database
Functional: GGA-PBE
Structure: relaxed

Cell: 7.6972 7.6972 7.6972 Å, 154.31 151.00 39.13°
Closest atoms and distances in Å follow each position.
Sites, in units of the cell vectors:
1 Br 0.0025 0.0025 0.0000  4 Co 2.76
2 Pt 0.2992 0.7992 0.5000  2 Co 2.60, 4 Br 2.63
3 Co 0.4339 0.4339 0.0000  2 Pt 2.60, 4 Br 2.76
4 Br 0.7644 0.2644 0.5000  4 Pt 2.63

Output
As for the space group: No. 44. As for the energy above the lowest structure with this stoichiometry: 0.328 eV/atom. As for the formation energy without anion corrections: 378 meV/atom. For the total moment, the calculation gives 2.39 μB/f.u.

***

formation energy without anion corrections of number 1 (CoPtBr2)? 762 meV/atom

***

Among the records above, which one has the highest formation energy without anion corrections? number 1